Record 1
PBE CaCuSe2, optimized geometry; size of the total moment = 0.00 Bohr magnetons per cell; E_tot = -4.165 eV/atom; SG = No. 6; formation energy without anion corrections = -899 meV per atom; calculated volume = 94.37 Å³ per cell
1.0
4.0520 0.0000 0.0000
0.0000 4.5665 0.0000
-1.1161 0.0000 5.1001
Ca Cu Se
1 1 2
direct
0.0000 0.0000 0.0000 Ca
0.4991 0.5000 0.4574 Cu
0.4747 0.5000 0.9399 Se
0.6456 0.0000 0.4430 Se

***

Record 2
PBE LaZn2Co, optimized geometry; size of the total moment = 0.00 Bohr magnetons per cell; E_tot = -3.770 eV/atom; formation energy from the elements = -124 meV/atom; SG = No. 10; calculated volume = 80.43 Å³ per cell
1.0
4.4973 0.0000 0.0000
0.0000 4.2904 0.0000
-1.7461 0.0000 4.1686
La Zn Co
1 2 1
direct
0.0000 0.0000 0.0000 La
0.3319 0.5000 0.6685 Zn
0.6681 0.5000 0.3315 Zn
0.5000 0.0000 0.5000 Co